(1)
# PBE Ho8Er6Sn, optimized geometry
# - DFT total energy (eV per atom) = -4.524
data_Ho8Er6Sn
_cell_length_a 9.9303
_cell_length_b 9.9303
_cell_length_c 5.4106
_cell_angle_alpha 90.00
_cell_angle_beta 90.00
_cell_angle_gamma 120.00
_symmetry_space_group_name_H-M 'P -6'
_symmetry_Int_Tables_number 174
loop_
_symmetry_equiv_pos_as_xyz
'x,y,z'
'-x+y,-x,-z'
'-y,x-y,z'
'x,y,-z'
'-x+y,-x,z'
'-y,x-y,-z'
loop_
_atom_site_label
_atom_site_type_symbol
_atom_site_fract_x
_atom_site_fract_y
_atom_site_fract_z
Ho1 Ho 0.0000 0.0000 0.0000
Ho2 Ho 0.1155 0.8713 0.5000
Ho3 Ho 0.3333 0.6667 0.5000
Ho4 Ho 0.5299 0.4346 0.5000
Er1 Er 0.1297 0.6735 0.0000
Er2 Er 0.3356 0.0939 0.0000
Sn1 Sn 0.6667 0.3333 0.0000


(2)
# PBE Ho5ErSn6, optimized geometry
# - DFT total energy (eV per atom) = -4.898
data_Ho5ErSn6
_cell_length_a 5.6752
_cell_length_b 13.9702
_cell_length_c 8.4778
_cell_angle_alpha 90.00
_cell_angle_beta 102.08
_cell_angle_gamma 90.00
_symmetry_space_group_name_H-M 'C 1 2/m 1'
_symmetry_Int_Tables_number 12
loop_
_symmetry_equiv_pos_as_xyz
'x,y,z'
'-x,-y,-z'
'-x,y,-z'
'x,-y,z'
'x+1/2,y+1/2,z'
'-x+1/2,-y+1/2,-z'
'-x+1/2,y+1/2,-z'
'x+1/2,-y+1/2,z'
loop_
_atom_site_label
_atom_site_type_symbol
_atom_site_fract_x
_atom_site_fract_y
_atom_site_fract_z
Ho1 Ho 0.0000 0.0000 0.0000
Ho2 Ho 0.0000 0.3328 0.0000
Ho3 Ho 0.0000 0.3339 0.5000
Er1 Er 0.0000 0.0000 0.5000
Sn1 Sn 0.0006 0.1664 0.7493
Sn2 Sn 0.0028 0.5000 0.2493


(3)
# PBE Ho2Er8Sn, optimized geometry
# - DFT total energy (eV per atom) = -4.617
data_Ho2Er8Sn
_cell_length_a 19.1926
_cell_length_b 5.4757
_cell_length_c 6.3445
_cell_angle_alpha 90.00
_cell_angle_beta 95.05
_cell_angle_gamma 90.00
_symmetry_space_group_name_H-M 'C 1 2/m 1'
_symmetry_Int_Tables_number 12
loop_
_symmetry_equiv_pos_as_xyz
'x,y,z'
'-x,-y,-z'
'-x,y,-z'
'x,-y,z'
'x+1/2,y+1/2,z'
'-x+1/2,-y+1/2,-z'
'-x+1/2,y+1/2,-z'
'x+1/2,-y+1/2,z'
loop_
_atom_site_label
_atom_site_type_symbol
_atom_site_fract_x
_atom_site_fract_y
_atom_site_fract_z
Ho1 Ho 0.2436 0.0000 0.3357
Er1 Er 0.0444 0.0000 0.2658
Er2 Er 0.0786 0.5000 0.5979
Er3 Er 0.1542 0.0000 0.8036
Er4 Er 0.1618 0.5000 0.1238
Sn1 Sn 0.0000 0.5000 0.0000


(4)
# PBE HoEr3Sn2, optimized geometry
# - DFT total energy (eV per atom) = -4.852
data_HoEr3Sn2
_cell_length_a 17.7428
_cell_length_b 4.4974
_cell_length_c 9.4628
_cell_angle_alpha 90.00
_cell_angle_beta 113.57
_cell_angle_gamma 90.00
_symmetry_space_group_name_H-M 'C 1 2/m 1'
_symmetry_Int_Tables_number 12
loop_
_symmetry_equiv_pos_as_xyz
'x,y,z'
'-x,-y,-z'
'-x,y,-z'
'x,-y,z'
'x+1/2,y+1/2,z'
'-x+1/2,-y+1/2,-z'
'-x+1/2,y+1/2,-z'
'x+1/2,-y+1/2,z'
loop_
_atom_site_label
_atom_site_type_symbol
_atom_site_fract_x
_atom_site_fract_y
_atom_site_fract_z
Ho1 Ho 0.1137 0.0000 0.1241
Er1 Er 0.0553 0.0000 0.6892
Er2 Er 0.1465 0.5000 0.4838
Er3 Er 0.1916 0.5000 0.8911
Sn1 Sn 0.0067 0.5000 0.8515
Sn2 Sn 0.2464 0.0000 0.7189


(5)
# PBE HoEr4Sn2, optimized geometry
# - DFT total energy (eV per atom) = -4.773
data_HoEr4Sn2
_cell_length_a 7.9839
_cell_length_b 6.4588
_cell_length_c 8.5722
_cell_angle_alpha 90.00
_cell_angle_beta 114.54
_cell_angle_gamma 90.00
_symmetry_space_group_name_H-M 'P 1 21/m 1'
_symmetry_Int_Tables_number 11
loop_
_symmetry_equiv_pos_as_xyz
'x,y,z'
'-x,-y,-z'
'-x,y+1/2,-z'
'x,-y+1/2,z'
loop_
_atom_site_label
_atom_site_type_symbol
_atom_site_fract_x
_atom_site_fract_y
_atom_site_fract_z
Ho1 Ho 0.1029 0.2500 0.3577
Er1 Er 0.1656 0.7500 0.0762
Er2 Er 0.3271 0.0033 0.7787
Er3 Er 0.4593 0.7500 0.4880
Sn1 Sn 0.0578 0.7500 0.3841
Sn2 Sn 0.2856 0.2500 0.0974


(6)
# PBE HoErTlSn, optimized geometry
# - DFT total energy (eV per atom) = -4.303
data_HoErTlSn
_cell_length_a 7.5355
_cell_length_b 7.5355
_cell_length_c 7.5355
_cell_angle_alpha 90.00
_cell_angle_beta 90.00
_cell_angle_gamma 90.00
_symmetry_space_group_name_H-M 'F -4 3 m'
_symmetry_Int_Tables_number 216
_symmetry_space_group_name_Hall 'F -4 2 3'
loop_
_atom_site_label
_atom_site_type_symbol
_atom_site_fract_x
_atom_site_fract_y
_atom_site_fract_z
Ho1 Ho 0.0000 0.0000 0.0000
Er1 Er 0.0000 0.0000 0.5000
Tl1 Tl 0.2500 0.2500 0.2500
Sn1 Sn 0.2500 0.2500 0.7500


(7)
# PBE SrHoEr, optimized geometry
# - offset from the most stable computed form (kcal/mol of atoms) = 0.00
data_SrHoEr
_cell_length_a 3.7052
_cell_length_b 3.7052
_cell_length_c 15.9622
_cell_angle_alpha 90.00
_cell_angle_beta 90.00
_cell_angle_gamma 90.00
_symmetry_space_group_name_H-M 'I 4 m m'
_symmetry_Int_Tables_number 107
_symmetry_space_group_name_Hall 'I 4 -2'
loop_
_atom_site_label
_atom_site_type_symbol
_atom_site_fract_x
_atom_site_fract_y
_atom_site_fract_z
Sr1 Sr 0.0000 0.0000 0.0000
Ho1 Ho 0.0000 0.0000 0.3188
Er1 Er 0.0000 0.0000 0.6808


(8)
# PBE SrHoEr, optimized geometry
# - offset from the most stable computed form (kcal/mol of atoms) = 0.62
data_SrHoEr
_cell_length_a 3.6905
_cell_length_b 3.6905
_cell_length_c 9.1948
_cell_angle_alpha 90.00
_cell_angle_beta 90.00
_cell_angle_gamma 120.00
_symmetry_space_group_name_H-M 'P 3 m 1'
_symmetry_Int_Tables_number 156
loop_
_symmetry_equiv_pos_as_xyz
'x,y,z'
'-y,x-y,z'
'-x+y,-x,z'
'-y,-x,z'
'-x+y,y,z'
'x,x-y,z'
loop_
_atom_site_label
_atom_site_type_symbol
_atom_site_fract_x
_atom_site_fract_y
_atom_site_fract_z
Sr1 Sr 0.0000 0.0000 0.0000
Ho1 Ho 0.3333 0.6667 0.6448
Er1 Er 0.6667 0.3333 0.3533


(9)
# PBE SrHo2Er, optimized geometry
# - offset from the most stable computed form (kcal/mol of atoms) = 0.00
data_SrHo2Er
_cell_length_a 3.6507
_cell_length_b 3.6507
_cell_length_c 10.5163
_cell_angle_alpha 90.00
_cell_angle_beta 90.00
_cell_angle_gamma 90.00
_symmetry_space_group_name_H-M 'P 4/m m m'
_symmetry_Int_Tables_number 123
_symmetry_space_group_name_Hall '-P 4 2'
loop_
_atom_site_label
_atom_site_type_symbol
_atom_site_fract_x
_atom_site_fract_y
_atom_site_fract_z
Sr1 Sr 0.0000 0.0000 0.0000
Ho1 Ho 0.5000 0.5000 0.2806
Er1 Er 0.0000 0.0000 0.5000


(10)
# PBE SrHo2Er, optimized geometry
# - offset from the most stable computed form (kcal/mol of atoms) = 2.32
data_SrHo2Er
_cell_length_a 3.5794
_cell_length_b 3.5794
_cell_length_c 38.0845
_cell_angle_alpha 90.00
_cell_angle_beta 90.00
_cell_angle_gamma 120.00
_symmetry_space_group_name_H-M 'R -3 m'
_symmetry_Int_Tables_number 166
_symmetry_space_group_name_Hall '-R 3 2"'
loop_
_atom_site_label
_atom_site_type_symbol
_atom_site_fract_x
_atom_site_fract_y
_atom_site_fract_z
Sr1 Sr 0.0000 0.0000 0.0000
Ho1 Ho 0.0000 0.0000 0.0935
Er1 Er 0.0000 0.0000 0.5000


(11)
# PBE Sr3Ho3ErTe8, optimized geometry
# - formation energy without anion corrections (eV/atom) = -1.500
data_Sr3Ho3ErTe8
_cell_length_a 8.8507
_cell_length_b 8.8507
_cell_length_c 22.8516
_cell_angle_alpha 90.00
_cell_angle_beta 90.00
_cell_angle_gamma 120.00
_symmetry_space_group_name_H-M 'R -3 m'
_symmetry_Int_Tables_number 166
_symmetry_space_group_name_Hall '-R 3 2"'
loop_
_atom_site_label
_atom_site_type_symbol
_atom_site_fract_x
_atom_site_fract_y
_atom_site_fract_z
Sr1 Sr 0.0000 0.5000 0.0000
Ho1 Ho 0.0000 0.5000 0.5000
Er1 Er 0.0000 0.0000 0.5000
Te1 Te 0.0000 0.0000 0.2432
Te2 Te 0.0034 0.5017 0.7569


(12)
# PBE Sr3HoEr3Te8, optimized geometry
# - formation energy without anion corrections (eV/atom) = -1.492
data_Sr3HoEr3Te8
_cell_length_a 8.8355
_cell_length_b 8.8355
_cell_length_c 22.8156
_cell_angle_alpha 90.00
_cell_angle_beta 90.00
_cell_angle_gamma 120.00
_symmetry_space_group_name_H-M 'R -3 m'
_symmetry_Int_Tables_number 166
_symmetry_space_group_name_Hall '-R 3 2"'
loop_
_atom_site_label
_atom_site_type_symbol
_atom_site_fract_x
_atom_site_fract_y
_atom_site_fract_z
Sr1 Sr 0.0000 0.5000 0.0000
Ho1 Ho 0.0000 0.0000 0.5000
Er1 Er 0.0000 0.5000 0.5000
Te1 Te 0.0000 0.0000 0.2428
Te2 Te 0.0053 0.5027 0.7569


(13)
# PBE HoEr2Ta, optimized geometry
# - DFT total energy (eV per atom) = -5.810
data_HoEr2Ta
_cell_length_a 3.2480
_cell_length_b 3.2480
_cell_length_c 34.7655
_cell_angle_alpha 90.00
_cell_angle_beta 90.00
_cell_angle_gamma 120.00
_symmetry_space_group_name_H-M 'R -3 m'
_symmetry_Int_Tables_number 166
_symmetry_space_group_name_Hall '-R 3 2"'
loop_
_atom_site_label
_atom_site_type_symbol
_atom_site_fract_x
_atom_site_fract_y
_atom_site_fract_z
Ho1 Ho 0.0000 0.0000 0.0000
Er1 Er 0.0000 0.0000 0.4158
Ta1 Ta 0.0000 0.0000 0.5000


(14)
# PBE Tb2HoEr7, optimized geometry
# - offset from the most stable computed form (kcal/mol of atoms) = 15.78
data_Tb2HoEr7
_cell_length_a 8.5821
_cell_length_b 17.2508
_cell_length_c 5.0521
_cell_angle_alpha 90.00
_cell_angle_beta 90.00
_cell_angle_gamma 90.00
_symmetry_space_group_name_H-M 'C m m m'
_symmetry_Int_Tables_number 65
_symmetry_space_group_name_Hall '-C 2 2'
loop_
_atom_site_label
_atom_site_type_symbol
_atom_site_fract_x
_atom_site_fract_y
_atom_site_fract_z
Tb1 Tb 0.0000 0.2010 0.0000
Ho1 Ho 0.0000 0.5000 0.5000
Er1 Er 0.0000 0.0000 0.0000
Er2 Er 0.0000 0.3060 0.5000
Er3 Er 0.1797 0.3933 0.0000


(15)
# PBE Tb4Ho5Er, optimized geometry
# - offset from the most stable computed form (kcal/mol of atoms) = 5.74
data_Tb4Ho5Er
_cell_length_a 10.1660
_cell_length_b 10.1660
_cell_length_c 6.1936
_cell_angle_alpha 90.00
_cell_angle_beta 90.00
_cell_angle_gamma 90.00
_symmetry_space_group_name_H-M 'I 4'
_symmetry_Int_Tables_number 79
loop_
_symmetry_equiv_pos_as_xyz
'x,y,z'
'-y,x,z'
'-x,-y,z'
'y,-x,z'
'x+1/2,y+1/2,z+1/2'
'-y+1/2,x+1/2,z+1/2'
'-x+1/2,-y+1/2,z+1/2'
'y+1/2,-x+1/2,z+1/2'
loop_
_atom_site_label
_atom_site_type_symbol
_atom_site_fract_x
_atom_site_fract_y
_atom_site_fract_z
Tb1 Tb 0.0437 0.6558 0.0000
Ho1 Ho 0.0000 0.0000 0.2315
Ho2 Ho 0.1493 0.7718 0.5004
Er1 Er 0.0000 0.0000 0.7683


(16)
# PBE TbHo2Er6, optimized geometry
# - offset from the most stable computed form (kcal/mol of atoms) = 0.00
data_TbHo2Er6
_cell_length_a 17.0584
_cell_length_b 3.5426
_cell_length_c 11.7598
_cell_angle_alpha 90.00
_cell_angle_beta 129.17
_cell_angle_gamma 90.00
_symmetry_space_group_name_H-M 'C 1 2/m 1'
_symmetry_Int_Tables_number 12
loop_
_symmetry_equiv_pos_as_xyz
'x,y,z'
'-x,-y,-z'
'-x,y,-z'
'x,-y,z'
'x+1/2,y+1/2,z'
'-x+1/2,-y+1/2,-z'
'-x+1/2,y+1/2,-z'
'x+1/2,-y+1/2,z'
loop_
_atom_site_label
_atom_site_type_symbol
_atom_site_fract_x
_atom_site_fract_y
_atom_site_fract_z
Tb1 Tb 0.0000 0.0000 0.0000
Ho1 Ho 0.2042 0.5000 0.0741
Er1 Er 0.0371 0.0000 0.7399
Er2 Er 0.1288 0.5000 0.5921
Er3 Er 0.1671 0.5000 0.3343


(17)
# PBE Tb2Ho3Er7, optimized geometry
# - offset from the most stable computed form (kcal/mol of atoms) = 0.00
data_Tb2Ho3Er7
_cell_length_a 5.6161
_cell_length_b 37.2438
_cell_length_c 3.5584
_cell_angle_alpha 90.00
_cell_angle_beta 90.00
_cell_angle_gamma 90.00
_symmetry_space_group_name_H-M 'C m m m'
_symmetry_Int_Tables_number 65
_symmetry_space_group_name_Hall '-C 2 2'
loop_
_atom_site_label
_atom_site_type_symbol
_atom_site_fract_x
_atom_site_fract_y
_atom_site_fract_z
Tb1 Tb 0.0000 0.1472 0.0000
Ho1 Ho 0.0000 0.3149 0.5000
Ho2 Ho 0.0000 0.5000 0.5000
Er1 Er 0.0000 0.0000 0.0000
Er2 Er 0.0000 0.0715 0.5000
Er3 Er 0.0000 0.2307 0.0000
Er4 Er 0.0000 0.4090 0.0000


(18)
# PBE TbHo3Er7, optimized geometry
# - offset from the most stable computed form (kcal/mol of atoms) = 2.84
data_TbHo3Er7
_cell_length_a 5.7154
_cell_length_b 11.0430
_cell_length_c 11.0475
_cell_angle_alpha 90.00
_cell_angle_beta 90.00
_cell_angle_gamma 90.00
_symmetry_space_group_name_H-M 'I m m m'
_symmetry_Int_Tables_number 71
_symmetry_space_group_name_Hall '-I 2 2'
loop_
_atom_site_label
_atom_site_type_symbol
_atom_site_fract_x
_atom_site_fract_y
_atom_site_fract_z
Tb1 Tb 0.0000 0.0000 0.0000
Ho1 Ho 0.0000 0.0000 0.5000
Ho2 Ho 0.0000 0.5000 0.2075
Er1 Er 0.0000 0.2036 0.3027
Er2 Er 0.0000 0.2931 0.0000
Er3 Er 0.0000 0.5000 0.5000


(19)
# PBE TbHo3Er2, optimized geometry
# - offset from the most stable computed form (kcal/mol of atoms) = 0.00
data_TbHo3Er2
_cell_length_a 17.2327
_cell_length_b 7.0311
_cell_length_c 6.0828
_cell_angle_alpha 90.00
_cell_angle_beta 90.05
_cell_angle_gamma 90.00
_symmetry_space_group_name_H-M 'C 1 2/c 1'
_symmetry_Int_Tables_number 15
loop_
_symmetry_equiv_pos_as_xyz
'x,y,z'
'-x,-y,-z'
'-x,y,-z+1/2'
'x,-y,z+1/2'
'x+1/2,y+1/2,z'
'-x+1/2,-y+1/2,-z'
'-x+1/2,y+1/2,-z+1/2'
'x+1/2,-y+1/2,z+1/2'
loop_
_atom_site_label
_atom_site_type_symbol
_atom_site_fract_x
_atom_site_fract_y
_atom_site_fract_z
Tb1 Tb 0.0000 0.1251 0.2500
Ho1 Ho 0.0000 0.3753 0.7500
Ho2 Ho 0.1671 0.1252 0.9165
Er1 Er 0.1669 0.3751 0.4171


(20)
# PBE Tb2HoEr9, optimized geometry
# - offset from the most stable computed form (kcal/mol of atoms) = 0.84
data_Tb2HoEr9
_cell_length_a 11.0898
_cell_length_b 11.0898
_cell_length_c 3.4639
_cell_angle_alpha 90.00
_cell_angle_beta 90.00
_cell_angle_gamma 120.00
_symmetry_space_group_name_H-M 'P 6/m m m'
_symmetry_Int_Tables_number 191
_symmetry_space_group_name_Hall '-P 6 2'
loop_
_atom_site_label
_atom_site_type_symbol
_atom_site_fract_x
_atom_site_fract_y
_atom_site_fract_z
Tb1 Tb 0.3333 0.6667 0.0000
Ho1 Ho 0.0000 0.0000 0.0000
Er1 Er 0.0000 0.5000 0.0000
Er2 Er 0.1758 0.3517 0.5000


(21)
# PBE Tb12Ho2Er5, optimized geometry
# - offset from the most stable computed form (kcal/mol of atoms) = 1.44
data_Tb12Ho2Er5
_cell_length_a 15.6541
_cell_length_b 9.1418
_cell_length_c 8.5016
_cell_angle_alpha 90.00
_cell_angle_beta 91.20
_cell_angle_gamma 90.00
_symmetry_space_group_name_H-M 'C 1 2/m 1'
_symmetry_Int_Tables_number 12
loop_
_symmetry_equiv_pos_as_xyz
'x,y,z'
'-x,-y,-z'
'-x,y,-z'
'x,-y,z'
'x+1/2,y+1/2,z'
'-x+1/2,-y+1/2,-z'
'-x+1/2,y+1/2,-z'
'x+1/2,-y+1/2,z'
loop_
_atom_site_label
_atom_site_type_symbol
_atom_site_fract_x
_atom_site_fract_y
_atom_site_fract_z
Tb1 Tb 0.0590 0.0000 0.3370
Tb2 Tb 0.0895 0.5000 0.8840
Tb3 Tb 0.1269 0.1938 0.6655
Tb4 Tb 0.1538 0.3183 0.2409
Ho1 Ho 0.0000 0.1759 0.0000
Er1 Er 0.0000 0.5000 0.5000
Er2 Er 0.1989 0.0000 0.0146
Er3 Er 0.2316 0.5000 0.5721


(22)
# PBE Tb2Ho6Er3, optimized geometry
# - offset from the most stable computed form (kcal/mol of atoms) = 6.20
data_Tb2Ho6Er3
_cell_length_a 4.6760
_cell_length_b 4.6760
_cell_length_c 32.8739
_cell_angle_alpha 90.00
_cell_angle_beta 90.00
_cell_angle_gamma 90.00
_symmetry_space_group_name_H-M 'I 4/m m m'
_symmetry_Int_Tables_number 139
_symmetry_space_group_name_Hall '-I 4 2'
loop_
_atom_site_label
_atom_site_type_symbol
_atom_site_fract_x
_atom_site_fract_y
_atom_site_fract_z
Tb1 Tb 0.0000 0.0000 0.0459
Ho1 Ho 0.0000 0.0000 0.1963
Ho2 Ho 0.0000 0.5000 0.1215
Er1 Er 0.0000 0.0000 0.2998
Er2 Er 0.0000 0.0000 0.5000


| no. | D(E_F) (states/eV/cell) | magnetization (μB/f.u.) |
| --- | --- | --- |
| 1 | 19.775 | 0.00 |
| 2 | 11.608 | 0.00 |
| 3 | 30.516 | 0.00 |
| 4 | 25.568 | 0.68 |
| 5 | 12.413 | 0.00 |
| 6 | 15.502 | 0.00 |
| 7 | 9.707 | 0.00 |
| 8 | 5.273 | 0.00 |
| 9 | 5.435 | 0.00 |
| 10 | 16.319 | 0.00 |
| 11 | 14.666 | 0.00 |
| 12 | 14.597 | 0.00 |
| 13 | 15.911 | 0.00 |
| 14 | 23.184 | 0.00 |
| 15 | 28.906 | 0.00 |
| 16 | 25.257 | 0.00 |
| 17 | 35.972 | 0.00 |
| 18 | 31.550 | 0.34 |
| 19 | 32.981 | 0.00 |
| 20 | 19.920 | 0.01 |
| 21 | 56.476 | 0.00 |
| 22 | 32.938 | 0.00 |